First-principles (GGA-PBE) data for a relaxed structure of InMo6Se8, as listed in OQMD.

Spin magnetization ... 0.01 μB/f.u.
VASP energy ... -103.067 eV/f.u.
Symmetry ... No. 148

extended XYZ file:
```
15
Lattice="4.818 2.782 4.035 -4.818 2.782 4.035 0.000 -5.564 4.035" Properties=species:S:1:pos:R:3 pbc="T T T"
In 0.000 0.000 0.000
Mo -0.881 -1.283 4.922
Mo -0.671 1.404 4.922
Mo -1.551 0.121 7.182
Mo 1.551 -0.121 4.922
Mo 0.671 -1.404 7.182
Mo 0.881 1.283 7.182
Se -3.008 0.277 5.045
Se 0.000 0.000 2.938
Se -1.744 -2.467 7.060
Se 1.265 -2.743 5.045
Se -1.265 2.743 7.060
Se 1.744 2.467 5.045
Se 0.000 0.000 9.167
Se 3.008 -0.277 7.060
```